Model a:
Tc2SeCl | PBE-GGA | relaxed

Structure (POSCAR):
```
Tc2SeCl
1.0
3.079 0.000 0.000
0.000 3.509 0.000
-1.529 0.000 7.645
Tc Se Cl
2 1 1
direct
0.000 0.000 0.000
0.484 0.500 0.849
0.838 0.000 0.668
0.141 0.500 0.237
```

Values from the calculation:
**Symmetry**: Pm, No. 6
**V**: 20.65 A^3/atom

=====

Model b:
Tc2SeCl | PBE-GGA | relaxed

Structure (POSCAR):
```
Tc2SeCl
1.0
3.064 0.000 0.000
0.000 4.050 0.000
-0.649 0.000 5.352
Tc Se Cl
2 1 1
direct
0.191 0.000 0.276
0.809 0.000 0.724
0.000 0.500 0.000
0.500 0.500 0.500
```

Values from the calculation:
**Symmetry**: P2/m, No. 10
**V**: 16.61 A^3/atom

=====

Tell me which of them is the most stable. Sure, it is model a.

=====

Model a:
TcSeCl3 | PBE-GGA | relaxed

Structure (POSCAR):
```
TcSeCl3
1.0
7.448 0.000 0.000
0.000 8.640 0.000
-0.640 0.000 10.475
Tc Se Cl
4 4 12
direct
0.063 0.145 0.376
0.063 0.855 0.876
0.937 0.145 0.124
0.937 0.855 0.624
0.061 0.425 0.353
0.061 0.575 0.853
0.939 0.425 0.147
0.939 0.575 0.647
0.074 0.144 0.916
0.074 0.856 0.416
0.242 0.118 0.202
0.242 0.882 0.702
0.332 0.180 0.500
0.332 0.820 0.000
0.668 0.180 0.000
0.668 0.820 0.500
0.758 0.118 0.298
0.758 0.882 0.798
0.926 0.144 0.584
0.926 0.856 0.084
```

Values from the calculation:
**Symmetry**: P2/c, No. 13
**V**: 33.70 A^3/atom

=====

Model b:
TcSeCl3 | PBE-GGA | relaxed

Structure (POSCAR):
```
TcSeCl3
1.0
5.140 0.000 0.000
0.000 5.140 0.000
0.000 0.000 5.140
Tc Se Cl
1 1 3
direct
0.000 0.000 0.000
0.500 0.500 0.500
0.000 0.500 0.500
0.500 0.000 0.500
0.500 0.500 0.000
```

Values from the calculation:
**Symmetry**: Pm-3m, No. 221
**V**: 27.16 A^3/atom

=====

Model c:
TcSeCl3 | PBE-GGA | relaxed

Structure (POSCAR):
```
TcSeCl3
1.0
6.640 0.000 0.000
0.000 6.580 0.000
0.000 0.000 5.524
Tc Se Cl
2 2 6
direct
0.000 0.021 0.000
0.500 0.979 0.500
0.000 0.292 0.241
0.500 0.708 0.741
0.000 0.702 0.770
0.240 0.161 0.717
0.260 0.839 0.217
0.500 0.298 0.270
0.740 0.839 0.217
0.760 0.161 0.717
```

Values from the calculation:
**Symmetry**: Pmn2_1, No. 31
**V**: 24.13 A^3/atom

=====

Tell me which of them is the most stable. Sure, it is model a.

=====

Model a:
TcSe3Cl | PBE-GGA | relaxed

Structure (POSCAR):
```
TcSe3Cl
1.0
4.954 0.000 0.000
0.000 4.954 0.000
0.000 0.000 4.954
Tc Se Cl
1 3 1
direct
0.000 0.000 0.000
0.000 0.500 0.500
0.500 0.000 0.500
0.500 0.500 0.000
0.500 0.500 0.500
```

Values from the calculation:
**Symmetry**: Pm-3m, No. 221
**V**: 24.31 A^3/atom

=====

Model b:
TcSe3Cl | PBE-GGA | relaxed

Structure (POSCAR):
```
TcSe3Cl
1.0
4.877 0.000 0.000
0.000 4.877 0.000
0.000 0.000 4.877
Tc Se Cl
1 3 1
direct
0.000 0.000 0.000
0.000 0.000 0.500
0.000 0.500 0.000
0.500 0.000 0.000
0.500 0.500 0.500
```

Values from the calculation:
**Symmetry**: Pm-3m, No. 221
**V**: 23.20 A^3/atom

=====

Tell me which of them is the most stable. Sure, it is model b.

=====

Model a:
TeSeCl2 | PBE-GGA | relaxed

Structure (POSCAR):
```
TeSeCl2
1.0
1.662 0.960 12.301
-1.662 0.960 12.301
0.000 -1.919 12.301
Te Se Cl
1 1 2
direct
0.000 0.000 0.000
0.500 0.500 0.500
0.066 0.066 0.066
0.934 0.934 0.934
```

Values from the calculation:
**Symmetry**: R-3m, No. 166
**V**: 29.43 A^3/atom

=====

Model b:
TeSeCl2 | PBE-GGA | relaxed

Structure (POSCAR):
```
TeSeCl2
1.0
3.116 -4.493 0.000
3.116 4.493 0.000
0.000 0.000 3.171
Te Se Cl
1 1 2
direct
0.000 0.000 0.000
0.500 0.500 0.000
0.000 0.500 0.500
0.500 0.000 0.500
```

Values from the calculation:
**Symmetry**: Cmmm, No. 65
**V**: 22.19 A^3/atom

=====

Model c:
TeSeCl2 | PBE-GGA | relaxed

Structure (POSCAR):
```
TeSeCl2
1.0
2.059 -4.443 0.000
2.059 4.443 0.000
0.000 0.000 7.779
Te Se Cl
1 1 2
direct
0.000 0.000 0.000
0.500 0.500 0.780
0.000 0.000 0.560
0.500 0.500 0.236
```

Values from the calculation:
**Symmetry**: Cmm2, No. 35
**V**: 35.59 A^3/atom

=====

Model d:
TeSeCl2 | PBE-GGA | relaxed

Structure (POSCAR):
```
TeSeCl2
1.0
-1.808 2.662 6.046
1.808 -2.662 6.046
1.808 2.662 -6.046
Te Se Cl
1 1 2
direct
0.000 0.000 0.000
0.842 0.342 0.500
0.178 0.678 0.500
0.507 0.507 0.000
```

Values from the calculation:
**Symmetry**: Imm2, No. 44
**V**: 29.10 A^3/atom

=====

Tell me which of them is the most stable. Sure, it is model d.

=====

Model a:
TeSeCl2 | PBE-GGA | relaxed

Structure (POSCAR):
```
TeSeCl2
1.0
0.000 3.555 3.555
3.555 0.000 3.555
3.555 3.555 0.000
Te Se Cl
1 1 2
direct
0.000 0.000 0.000
0.500 0.500 0.500
0.250 0.250 0.250
0.750 0.750 0.750
```

Values from the calculation:
**Symmetry**: Fm-3m, No. 225
**V**: 22.47 A^3/atom

=====

Model b:
TeSeCl2 | PBE-GGA | relaxed

Structure (POSCAR):
```
TeSeCl2
1.0
-5.334 5.334 2.630
5.334 -5.334 2.630
5.334 5.334 -2.630
Te Se Cl
2 2 4
direct
0.000 0.000 0.000
0.750 0.250 0.500
0.250 0.750 0.500
0.500 0.500 0.000
0.375 0.122 0.247
0.872 0.625 0.747
0.875 0.128 0.753
0.878 0.125 0.253
```

Values from the calculation:
**Symmetry**: I-42d, No. 122
**V**: 37.42 A^3/atom

=====

Tell me which of them is the most stable. Sure, it is model b.

=====

Model a:
TeSeCl2 | PBE-GGA | relaxed

Structure (POSCAR):
```
TeSeCl2
1.0
7.412 0.000 0.000
0.000 4.690 0.000
-7.398 0.000 15.291
Te Se Cl
4 4 8
direct
0.170 0.000 0.420
0.170 0.500 0.920
0.830 0.000 0.580
0.830 0.500 0.080
0.070 0.249 0.250
0.070 0.251 0.750
0.930 0.749 0.250
0.930 0.751 0.750
0.140 0.746 0.087
0.140 0.754 0.587
0.465 0.746 0.913
0.465 0.754 0.413
0.535 0.246 0.587
0.535 0.254 0.087
0.860 0.246 0.413
0.860 0.254 0.913
```

Values from the calculation:
**Symmetry**: P2_1/c, No. 14
**V**: 33.22 A^3/atom

=====

Model b:
TeSeCl2 | PBE-GGA | relaxed

Structure (POSCAR):
```
TeSeCl2
1.0
3.809 0.000 0.000
-0.965 5.916 0.000
-1.761 -2.278 6.403
Te Se Cl
1 1 2
direct
0.000 0.000 0.000
0.675 0.151 0.284
0.052 0.346 0.894
0.316 0.809 0.689
```

Values from the calculation:
**Symmetry**: P1, No. 1
**V**: 36.07 A^3/atom

=====

Model c:
TeSeCl2 | PBE-GGA | relaxed

Structure (POSCAR):
```
TeSeCl2
1.0
5.632 -2.204 0.000
5.632 2.204 0.000
-1.925 0.000 4.252
Te Se Cl
1 1 2
direct
0.000 0.000 0.000
0.500 0.500 0.500
0.252 0.252 0.252
0.748 0.748 0.748
```

Values from the calculation:
**Symmetry**: C2/m, No. 12
**V**: 26.39 A^3/atom

=====

Model d:
TeSeCl2 | PBE-GGA | relaxed

Structure (POSCAR):
```
TeSeCl2
1.0
3.234 0.000 0.000
0.000 4.659 0.000
0.000 0.000 6.265
Te Se Cl
1 1 2
direct
0.000 0.000 0.000
0.500 0.000 0.500
0.000 0.500 0.500
0.500 0.500 0.000
```

Values from the calculation:
**Symmetry**: Pmmm, No. 47
**V**: 23.60 A^3/atom

=====

Tell me which of them is the most stable. Sure, it is model b.